(a)
Entry from OQMD via LeMat-Bulk: crystalline Ta2PbO6 at its relaxed geometry (PBE-GGA).

Lattice parameters (Å, degrees): 4.9937 4.9937 9.7413 90.00 90.00 90.00
Fractional positions:
1 Ta 0.5000 0.5000 0.1680
2 Ta 0.0000 0.0000 0.3320
3 Ta 0.0000 0.0000 0.6680
4 Ta 0.5000 0.5000 0.8320
5 O 0.8336 0.1664 0.5000
6 O 0.2770 0.2770 0.7033
7 O 0.1664 0.8336 0.5000
8 O 0.7230 0.7230 0.2967
9 O 0.7230 0.7230 0.7033
10 O 0.7770 0.2230 0.2033
11 O 0.7770 0.2230 0.7967
12 O 0.6664 0.6664 0.0000
13 O 0.2230 0.7770 0.2033
14 O 0.2230 0.7770 0.7967
15 O 0.2770 0.2770 0.2967
16 O 0.3336 0.3336 0.0000
17 Pb 0.5000 0.5000 0.5000
18 Pb 0.0000 0.0000 0.0000

=====

(b)
Entry from OQMD via LeMat-Bulk: crystalline Ta2PbO6 at its relaxed geometry (PBE-GGA).

Lattice parameters (Å, degrees): 5.3409 5.3409 5.2356 90.00 90.00 120.00
Fractional positions:
1 O 0.0000 0.6172 0.7112
2 O 0.0000 0.3828 0.2888
3 O 0.6172 0.0000 0.7112
4 O 0.3828 0.3828 0.7112
5 O 0.3828 0.0000 0.2888
6 O 0.6172 0.6172 0.2888
7 Ta 0.6667 0.3333 0.5000
8 Ta 0.3333 0.6667 0.5000
9 Pb 0.0000 0.0000 0.0000

=====

Most stable structure - (b); separation to the second - 103 meV per atom.

=====

(a)
Entry from OQMD via LeMat-Bulk: crystalline TaTlPb2O6 at its relaxed geometry (PBE-GGA).

Lattice parameters (Å, degrees): 5.8124 5.8124 5.9789 119.79 119.79 60.59
Fractional positions:
1 O 0.3159 0.7953 0.8259
2 O 0.6841 0.2047 0.1741
3 O 0.2047 0.6841 0.1741
4 O 0.7312 0.7312 0.3203
5 O 0.7953 0.3159 0.8259
6 O 0.2688 0.2688 0.6797
7 Pb 0.7529 0.7529 0.7756
8 Pb 0.2471 0.2471 0.2244
9 Tl 0.0000 0.0000 0.5000
10 Ta 0.5000 0.5000 0.0000

=====

(b)
Entry from OQMD via LeMat-Bulk: crystalline TaTlPb2O6 at its relaxed geometry (PBE-GGA).

Lattice parameters (Å, degrees): 5.9034 5.9034 5.9034 120.75 120.75 88.70
Fractional positions:
1 Tl 0.0000 0.0000 0.0000
2 Pb 0.2500 0.7500 0.5000
3 Pb 0.7500 0.2500 0.5000
4 O 0.6693 0.2019 0.8712
5 O 0.3307 0.7981 0.1288
6 O 0.2643 0.2643 0.0000
7 O 0.2019 0.3307 0.5326
8 O 0.7981 0.6693 0.4674
9 O 0.7357 0.7357 0.0000
10 Ta 0.5000 0.5000 0.0000

=====

Most stable structure - (a); separation to the second - 19 meV per atom.

=====

(a)
Entry from OQMD via LeMat-Bulk: crystalline Tm2Pb2O5 at its relaxed geometry (PBE-GGA).

Lattice parameters (Å, degrees): 8.1526 4.2695 4.2695 90.00 90.00 90.00
Fractional positions:
1 Tm 0.7538 0.5000 0.5000
2 Tm 0.2462 0.5000 0.5000
3 Pb 0.5000 0.0000 0.0000
4 Pb 0.0000 0.0000 0.0000
5 O 0.1999 0.5000 0.0000
6 O 0.8001 0.0000 0.5000
7 O 0.8001 0.5000 0.0000
8 O 0.5000 0.5000 0.5000
9 O 0.1999 0.0000 0.5000

=====

(b)
Entry from OQMD via LeMat-Bulk: crystalline Tm2Pb2O5 at its relaxed geometry (PBE-GGA).

Lattice parameters (Å, degrees): 7.0498 4.4641 4.4641 90.00 90.00 90.00
Fractional positions:
1 Pb 0.7949 0.5000 0.5000
2 Pb 0.2051 0.5000 0.5000
3 O 0.5000 0.5000 0.5000
4 O 0.7755 0.5000 0.0000
5 O 0.2245 0.0000 0.5000
6 O 0.2245 0.5000 0.0000
7 O 0.7755 0.0000 0.5000
8 Tm 0.5000 0.0000 0.0000
9 Tm 0.0000 0.0000 0.0000

=====

Most stable structure - (a); separation to the second - 966 meV per atom.

=====

(a)
Entry from OQMD via LeMat-Bulk: crystalline Pm2Pd2O5 at its relaxed geometry (PBE-GGA).

Lattice parameters (Å, degrees): 9.3428 3.8223 3.8223 90.00 90.00 90.00
Fractional positions:
1 Pd 0.0000 0.0000 0.0000
2 Pd 0.5000 0.0000 0.0000
3 Pm 0.7435 0.5000 0.5000
4 Pm 0.2565 0.5000 0.5000
5 O 0.1307 0.0000 0.5000
6 O 0.1307 0.5000 0.0000
7 O 0.5000 0.5000 0.5000
8 O 0.8693 0.5000 0.0000
9 O 0.8693 0.0000 0.5000

=====

(b)
Entry from OQMD via LeMat-Bulk: crystalline Pm2Pd2O5 at its relaxed geometry (PBE-GGA).

Lattice parameters (Å, degrees): 6.9815 4.0337 4.0337 90.00 90.00 90.00
Fractional positions:
1 Pm 0.0000 0.0000 0.0000
2 Pm 0.5000 0.0000 0.0000
3 Pd 0.1928 0.5000 0.5000
4 Pd 0.8072 0.5000 0.5000
5 O 0.2286 0.0000 0.5000
6 O 0.7714 0.5000 0.0000
7 O 0.5000 0.5000 0.5000
8 O 0.7714 0.0000 0.5000
9 O 0.2286 0.5000 0.0000

=====

Most stable structure - (b); separation to the second - 317 meV per atom.